A plane-wave DFT calculation with SCAN was carried out for a crystal of CuTcSe2 relaxed with PBEsol.

Formation energy from raw total energies (eV/atom): 0.076
Excess energy over the best structure of this formula in the dataset (eV per atom): 0.0506
E_tot (eV/atom): -22.528

Cell lengths 3.1761, 3.1761, 21.5505 Å; angles 90.00, 90.00, 120.00 degrees
Closest atoms and distances in Å follow each position.
Space group R-3m (No. 166, hexagonal axes)
Inequivalent atoms, fractional coordinates:
Cu 0.0000 0.0000 0.0000 x3  6 Se 2.58
Tc 0.0000 0.0000 0.5000 x3  6 Se 2.55
Se 0.0000 0.0000 0.2488 x6  3 Tc 2.55, 3 Cu 2.58